Material: K2RbInH
Method: DFT, PBE
State: optimized geometry

POSCAR file:
```
K2RbInH
1.0
5.627 0.000 0.000
0.000 5.627 0.000
0.000 0.000 5.881
K Rb In H
2 1 1 1
direct
0.000 0.500 0.000 K
0.500 0.000 0.000 K
0.000 0.000 0.500 Rb
0.500 0.500 0.500 In
0.000 0.000 0.000 H
```

Computed properties:
**Space-group type**: P4/mmm (123)
**Fermi-level density of states**: 0.486 states/eV/atom
**VASP energy**: -1.85 eV/atom


Material: K2RbInH6
Method: DFT, PBE
State: optimized geometry

POSCAR file:
```
K2RbInH6
1.0
6.209 0.000 0.000
0.000 6.573 0.000
-6.133 0.000 8.823
K Rb In H
4 2 2 12
direct
0.231 0.055 0.244 K
0.231 0.445 0.744 K
0.769 0.555 0.256 K
0.769 0.945 0.756 K
0.000 0.000 0.500 Rb
0.000 0.500 0.000 Rb
0.500 0.000 0.000 In
0.500 0.500 0.500 In
0.196 0.159 0.956 H
0.196 0.341 0.456 H
0.274 0.749 0.922 H
0.274 0.751 0.422 H
0.408 0.064 0.796 H
0.408 0.436 0.296 H
0.592 0.564 0.704 H
0.592 0.936 0.204 H
0.726 0.249 0.578 H
0.726 0.251 0.078 H
0.804 0.659 0.544 H
0.804 0.841 0.044 H
```

Computed properties:
**Space-group type**: P2_1/c (14)
**Fermi-level density of states**: 0.000 states/eV/atom
**VASP energy**: -2.67 eV/atom


Material: KInH8Rh2
Method: DFT, PBE
State: optimized geometry

POSCAR file:
```
KInH8Rh2
1.0
2.462 1.421 6.591
-2.462 1.421 6.591
0.000 -2.842 6.591
K In H Rh
1 1 8 2
direct
0.000 0.000 0.000 K
0.500 0.500 0.500 In
0.016 0.016 0.609 H
0.016 0.609 0.016 H
0.277 0.277 0.277 H
0.391 0.984 0.984 H
0.609 0.016 0.016 H
0.723 0.723 0.723 H
0.984 0.391 0.984 H
0.984 0.984 0.391 H
0.192 0.192 0.192 Rh
0.808 0.808 0.808 Rh
```

Computed properties:
**Space-group type**: R-3m (166)
**Fermi-level density of states**: 0.113 states/eV/atom
**VASP energy**: -3.84 eV/atom


Material: K2InSbH
Method: DFT, PBE
State: optimized geometry

POSCAR file:
```
K2InSbH
1.0
7.103 0.000 0.000
0.000 5.644 0.000
-2.575 0.000 8.199
K In Sb H
4 2 2 2
direct
0.117 0.250 0.376 K
0.254 0.250 0.925 K
0.746 0.750 0.075 K
0.883 0.750 0.624 K
0.430 0.750 0.334 In
0.570 0.250 0.666 In
0.405 0.750 0.686 Sb
0.595 0.250 0.314 Sb
0.152 0.750 0.209 H
0.848 0.250 0.791 H
```

Computed properties:
**Space-group type**: P2_1/m (11)
**Fermi-level density of states**: 0.227 states/eV/atom
**VASP energy**: -2.72 eV/atom
**Energy above the lowest structure with this stoichiometry**: 0 meV/atom


Material: KInSbH
Method: DFT, PBE
State: optimized geometry

POSCAR file:
```
KInSbH
1.0
2.298 1.327 6.497
-2.298 1.327 6.497
0.000 -2.653 6.497
K In Sb H
1 1 1 1
direct
0.000 0.000 0.000 K
0.520 0.520 0.520 In
0.798 0.798 0.798 Sb
0.614 0.614 0.614 H
```

Computed properties:
**Space-group type**: R3m (160)
**VASP energy**: -3.09 eV/atom


Material: K2InSbH
Method: DFT, PBE
State: optimized geometry

POSCAR file:
```
K2InSbH
1.0
4.956 0.000 0.000
0.000 4.956 0.000
0.000 0.000 5.423
K In Sb H
2 1 1 1
direct
0.000 0.500 0.000 K
0.500 0.000 0.000 K
0.000 0.000 0.500 In
0.500 0.500 0.500 Sb
0.000 0.000 0.000 H
```

Computed properties:
**Space-group type**: P4/mmm (123)
**Fermi-level density of states**: 0.107 states/eV/atom
**VASP energy**: -2.62 eV/atom
**Energy above the lowest structure with this stoichiometry**: 101 meV/atom


Material: KSr2InH
Method: DFT, PBE
State: optimized geometry

POSCAR file:
```
KSr2InH
1.0
5.499 0.000 0.000
0.000 5.499 0.000
0.000 0.000 5.190
K Sr In H
1 2 1 1
direct
0.000 0.000 0.000 K
0.000 0.500 0.500 Sr
0.500 0.000 0.500 Sr
0.500 0.500 0.000 In
0.000 0.000 0.500 H
```

Computed properties:
**Space-group type**: P4/mmm (123)
**Fermi-level density of states**: 0.774 states/eV/atom
**VASP energy**: -2.31 eV/atom
**Energy above the lowest structure with this stoichiometry**: 0 meV/atom


Material: KSr2InH
Method: DFT, PBE
State: optimized geometry

POSCAR file:
```
KSr2InH
1.0
5.711 0.000 0.000
0.000 5.711 0.000
0.000 0.000 4.951
K Sr In H
1 2 1 1
direct
0.000 0.000 0.000 K
0.000 0.500 0.500 Sr
0.500 0.000 0.500 Sr
0.500 0.500 0.000 In
0.500 0.500 0.500 H
```

Computed properties:
**Space-group type**: P4/mmm (123)
**Fermi-level density of states**: 0.623 states/eV/atom
**VASP energy**: -2.13 eV/atom
**Energy above the lowest structure with this stoichiometry**: 179 meV/atom


no.,magnetization (μB per formula unit)
1,0.00
2,0.00
3,0.00
4,0.00
5,0.00
6,0.00
7,0.00
8,0.83